An optimized crystal structure of HfZrPaW. Source: the Alexandria database, functional PBE.

Summary:
Calculated total energy = -40.467 eV/cell
ΔE_f = 0.484 eV/f.u.
Symmetry = No. 216

Cell lengths 4.919, 4.919, 4.919 Å; angles 60.00, 60.00, 60.00 degrees
Sites, in units of the cell vectors:
Hf (0.000, 0.000, 0.000)
W (0.750, 0.750, 0.750)
Zr (0.250, 0.250, 0.250)
Pa (0.500, 0.500, 0.500)